{
  "formula": "CdPb",
  "functional": "PBE",
  "state": "relaxed",
  "mass_density_g_cm3": 9.454,
  "e_form_ev_per_atom": 0.059,
  "n_ef_per_ev_cell": 11.54,
  "magmom_total_mub_per_atom": 0.00,
  "lattice": [[6.4538, 0.0000, 0.0000], [0.0000, 9.4447, 0.0000], [0.0000, 0.0000, 11.0523]],
  "species": ["Cd", "Cd", "Cd", "Cd", "Cd", "Cd", "Cd", "Cd", "Cd", "Cd", "Cd", "Cd", "Pb", "Pb", "Pb", "Pb", "Pb", "Pb", "Pb", "Pb", "Pb", "Pb", "Pb", "Pb"],
  "frac_coords": [[0.2500, 0.0974, 0.1327], [0.7500, 0.9026, 0.8673], [0.2500, 0.5974, 0.8673], [0.7500, 0.4026, 0.1327], [0.2500, 0.5422, 0.4461], [0.7500, 0.4578, 0.5539], [0.2500, 0.0422, 0.5539], [0.7500, 0.9578, 0.4461], [0.0000, 0.7500, 0.0576], [0.5000, 0.2500, 0.9424], [0.0000, 0.2500, 0.9424], [0.5000, 0.7500, 0.0576], [0.2500, 0.4775, 0.1654], [0.7500, 0.5225, 0.8346], [0.2500, 0.9775, 0.8346], [0.7500, 0.0225, 0.1654], [0.2500, 0.8420, 0.3143], [0.7500, 0.1580, 0.6857], [0.2500, 0.3420, 0.6857], [0.7500, 0.6580, 0.3143], [0.0000, 0.7500, 0.6274], [0.5000, 0.2500, 0.3726], [0.0000, 0.2500, 0.3726], [0.5000, 0.7500, 0.6274]]
}